PuSc3S6: relaxed, PBE.

Formation energy without anion corrections   -1.830 eV/atom
Volume   409 Å³ per cell
Total magnetization   0.50 μB per atom

a = 3.780 Å, b = 10.657 Å, c = 10.764 Å
α = 109.22°, β = 90.00°, γ = 90.00°
Fractional coordinates of all 20 atoms:
Sc1 0.250 0.323 0.500
Pu1 0.750 0.050 0.693
Pu2 0.250 0.950 0.307
S1 0.750 0.732 0.270
S2 0.750 0.393 0.060
S3 0.250 0.081 0.907
S4 0.250 0.607 0.940
S5 0.250 0.201 0.249
Sc2 0.750 0.441 0.837
S6 0.250 0.268 0.730
S7 0.750 0.123 0.463
Sc3 0.250 0.559 0.163
Sc4 0.750 0.158 0.086
S8 0.250 0.877 0.537
Sc5 0.750 0.677 0.500
S9 0.750 0.799 0.751
S10 0.250 0.523 0.386
Sc6 0.250 0.842 0.914
S11 0.750 0.477 0.614
S12 0.750 0.919 0.093